# CaNi2RuO6

CaNi2RuO6 after structural relaxation (PBE with a Hubbard U, Alexandria via LeMat-Bulk).

abc: 5.6549 5.6549 5.6549
angles: 55.61 55.61 55.61
Positions (direct):
O  0.6216  0.9316  0.2680
O  0.0514  0.8400  0.3974
O  0.2680  0.6216  0.9316
O  0.3974  0.0514  0.8400
O  0.9316  0.2680  0.6216
O  0.8400  0.3974  0.0514
Ru  0.0047  0.0047  0.0047
Ni  0.6962  0.6962  0.6962
Ni  0.2027  0.2027  0.2027
Ca  0.4870  0.4870  0.4870

As for the space-group type: R3, No. 146. The density of states at the Fermi level comes out at 4.859 states/eV per cell. The calculation puts the total energy at -5.92 eV per atom.